# 1
{"formula": "Tl2CoTe", "functional": "PBE", "state": "relaxed", "volume_a3_per_atom": 25.76, "raw_formation_energy_ev_per_fu": 2.220, "e_above_lowest_polymorph_ev_per_atom": 0.448, "n_ef_per_ev_cell": 4.69, "lattice_angstrom": [[-2.6783, -1.6861, -0.6690], [0.0012, -1.9577, 4.9290], [-3.3674, 4.6205, 1.8360]], "species": ["Tl", "Co", "Tl", "Te"], "frac_coords": [[0.0000, 0.0000, 0.0065], [0.5000, 0.5000, 0.2500], [0.0000, 0.0000, 0.4935], [0.5000, 0.5000, 0.7500]]}



# 2
{"formula": "TlCo2Te", "functional": "PBE", "state": "relaxed", "volume_a3_per_atom": 17.15, "raw_formation_energy_ev_per_fu": 2.104, "e_above_lowest_polymorph_ev_per_atom": 0.320, "n_ef_per_ev_cell": 2.79, "lattice_angstrom": [[4.5573, 0.0132, 0.0000], [-0.0123, 4.5573, 0.0000], [0.0000, 0.0000, 3.3031]], "species": ["Tl", "Te", "Co", "Co"], "frac_coords": [[0.0000, 0.5000, 0.5000], [0.5000, 0.0000, 0.5000], [0.0000, 0.0000, 0.0000], [0.5000, 0.5000, 0.0000]]}



# 3
{"formula": "Tl2CoTe", "functional": "PBE", "state": "relaxed", "volume_a3_per_atom": 24.27, "raw_formation_energy_ev_per_fu": 1.667, "e_above_lowest_polymorph_ev_per_atom": 0.310, "n_ef_per_ev_cell": 3.35, "lattice_angstrom": [[-2.0198, 2.4675, 0.7243], [-0.0159, -0.9307, 3.1347], [7.1415, 5.3672, 1.6299]], "species": ["Co", "Tl", "Te", "Tl"], "frac_coords": [[0.5000, 0.5000, 0.2500], [0.0000, 0.0000, 0.4302], [0.5000, 0.5000, 0.7500], [0.0000, 0.0000, 0.0698]]}



# 4
{"formula": "YTl2CoTe", "functional": "PBE", "state": "relaxed", "volume_a3_per_atom": 26.20, "raw_formation_energy_ev_per_fu": -1.326, "n_ef_per_ev_cell": 1.20, "lattice_angstrom": [[-4.6189, 1.7762, 1.0275], [0.4961, -1.5269, 4.8696], [1.9929, 4.4861, 1.2036]], "species": ["Co", "Y", "Tl", "Te", "Tl"], "frac_coords": [[0.0000, 0.0000, 0.0000], [0.0000, 0.5000, 0.0000], [0.5000, 0.0000, 0.0000], [0.5000, 0.5000, 0.5000], [0.0000, 0.0000, 0.5000]]}



# 5
{"formula": "Zr2Tl3CoTe6", "functional": "PBE", "state": "relaxed", "volume_a3_per_atom": 30.25, "raw_formation_energy_ev_per_fu": -5.450, "n_ef_per_ev_cell": 3.74, "lattice_angstrom": [[-3.3760, 1.2405, -6.1714], [0.9627, -6.7046, 2.2682], [-6.3739, 2.1416, 5.2929]], "species": ["Te", "Zr", "Tl", "Te", "Tl", "Tl", "Te", "Te", "Co", "Zr", "Te", "Te"], "frac_coords": [[0.7498, 0.7498, 0.2029], [0.3357, 0.6643, 0.0000], [0.1791, 0.8209, 0.5000], [0.9371, 0.6211, 0.8049], [0.5000, 0.5000, 0.5000], [0.8209, 0.1791, 0.5000], [0.2502, 0.2502, 0.7971], [0.6211, 0.9371, 0.8049], [0.0000, 0.0000, 0.0000], [0.6643, 0.3357, 0.0000], [0.0629, 0.3789, 0.1951], [0.3789, 0.0629, 0.1951]]}



# 6
{"formula": "Zr2TlCoTe", "functional": "PBE", "state": "relaxed", "volume_a3_per_atom": 32.05, "raw_formation_energy_ev_per_fu": 6.293, "n_ef_per_ev_cell": 3.76, "lattice_angstrom": [[-3.4465, -2.0049, 3.4777], [0.7239, -5.2003, -2.2805], [3.9581, -0.9332, 3.3846]], "species": ["Zr", "Tl", "Co", "Te", "Zr"], "frac_coords": [[0.5000, 0.0000, 0.0000], [0.0000, 0.5000, 0.0000], [0.5000, 0.5000, 0.5000], [0.0000, 0.0000, 0.0000], [0.0000, 0.0000, 0.5000]]}



# 7
{"formula": "Tm4CoTe", "functional": "PBE", "state": "relaxed", "volume_a3_per_atom": 31.55, "raw_formation_energy_ev_per_fu": -1.930, "e_above_lowest_polymorph_ev_per_atom": 0.230, "n_ef_per_ev_cell": 7.33, "lattice_angstrom": [[5.0088, 0.0000, 0.0000], [-2.5044, 10.4642, -1.4494], [0.0000, -4.7091, 7.8761]], "species": ["Co", "Te", "Tm", "Tm", "Tm", "Te", "Co", "Tm", "Tm", "Tm", "Tm", "Tm"], "frac_coords": [[0.0866, 0.1731, 0.6250], [0.8505, 0.7010, 0.7593], [0.0116, 0.0232, 0.2776], [0.7701, 0.5403, 0.3368], [0.2299, 0.4597, 0.6632], [0.1495, 0.2990, 0.2407], [0.9134, 0.8269, 0.3750], [0.6007, 0.2014, 0.6614], [0.9884, 0.9768, 0.7224], [0.3993, 0.7986, 0.3386], [0.1973, 0.3946, 0.9849], [0.8027, 0.6054, 0.0151]]}



# 8
{"formula": "Tm5CoTe2", "functional": "PBE", "state": "relaxed", "volume_a3_per_atom": 33.34, "raw_formation_energy_ev_per_fu": -3.230, "e_above_lowest_polymorph_ev_per_atom": 0.289, "n_ef_per_ev_cell": 14.07, "lattice_angstrom": [[-1.5324, 2.2068, -4.1443], [-6.7691, -3.8810, 3.3794], [-2.8495, 10.9769, 6.8987]], "species": ["Te", "Tm", "Te", "Tm", "Tm", "Tm", "Tm", "Co", "Tm", "Te", "Te", "Tm", "Tm", "Tm", "Tm", "Co"], "frac_coords": [[0.9135, 0.8270, 0.1150], [0.3080, 0.6160, 0.0782], [0.0865, 0.1730, 0.8850], [0.3080, 0.6160, 0.4218], [0.6920, 0.3840, 0.9218], [0.1008, 0.2017, 0.3842], [0.1008, 0.2017, 0.1158], [0.2165, 0.4330, 0.2500], [0.8992, 0.7983, 0.6158], [0.9135, 0.8270, 0.3850], [0.0865, 0.1730, 0.6150], [0.7373, 0.4745, 0.2500], [0.2627, 0.5255, 0.7500], [0.8992, 0.7983, 0.8842], [0.6920, 0.3840, 0.5782], [0.7835, 0.5670, 0.7500]]}



# 9
{"formula": "Tm5CoTe4", "functional": "PBE", "state": "relaxed", "volume_a3_per_atom": 27.61, "raw_formation_energy_ev_per_fu": -10.150, "n_ef_per_ev_cell": 7.64, "lattice_angstrom": [[6.0016, 0.0000, 0.0000], [3.0008, 6.7830, 0.0000], [3.0008, 0.0000, 6.7830]], "species": ["Te", "Te", "Co", "Tm", "Tm", "Te", "Tm", "Te", "Tm", "Tm"], "frac_coords": [[0.5903, 0.5993, 0.2221], [0.8124, 0.7779, 0.5993], [0.0010, 0.0000, 0.0000], [0.2492, 0.8412, 0.6625], [0.9117, 0.3375, 0.8412], [0.4117, 0.4007, 0.7779], [0.0904, 0.6625, 0.1588], [0.1897, 0.2221, 0.4007], [0.7529, 0.1588, 0.3375], [0.5010, 0.0000, 0.0000]]}



# 10
{"formula": "Tm2CoTe", "functional": "PBE", "state": "relaxed", "volume_a3_per_atom": 24.31, "raw_formation_energy_ev_per_fu": -2.370, "n_ef_per_ev_cell": 2.83, "lattice_angstrom": [[-2.5178, 1.5517, 2.6467], [-3.8258, 0.4761, -0.9428], [-3.5375, -5.8561, 3.0437]], "species": ["Tm", "Te", "Co", "Tm"], "frac_coords": [[0.2653, 0.2653, 0.2041], [0.5000, 0.5000, 0.5000], [0.0000, 0.0000, 0.0000], [0.7347, 0.7347, 0.7959]]}



# 11
{"formula": "Tm5CoTe2", "functional": "PBE", "state": "relaxed", "volume_a3_per_atom": 25.97, "raw_formation_energy_ev_per_fu": -5.538, "e_above_lowest_polymorph_ev_per_atom": 0.000, "n_ef_per_ev_cell": 15.42, "lattice_angstrom": [[-2.5071, -3.0323, 0.6112], [5.8073, -5.2176, -2.0645], [3.7984, -0.6538, 12.3370]], "species": ["Tm", "Te", "Tm", "Tm", "Te", "Tm", "Te", "Tm", "Tm", "Co", "Tm", "Tm", "Tm", "Te", "Tm", "Co"], "frac_coords": [[0.5000, 0.3353, 0.5802], [0.5000, 0.4633, 0.8185], [0.0000, 0.5000, 0.0000], [0.0000, 0.6622, 0.6772], [0.5000, 0.0367, 0.3185], [0.5000, 0.8353, 0.9198], [0.5000, 0.9633, 0.6815], [0.0000, 0.0000, 0.5000], [0.0000, 0.3378, 0.3228], [0.0000, 0.5000, 0.5000], [0.0000, 0.1622, 0.8228], [0.5000, 0.6647, 0.4198], [0.5000, 0.1647, 0.0802], [0.5000, 0.5367, 0.1815], [0.0000, 0.8378, 0.1772], [0.0000, 0.0000, 0.0000]]}



# 12
{"formula": "Tm5Co2Te", "functional": "PBE", "state": "relaxed", "volume_a3_per_atom": 23.38, "raw_formation_energy_ev_per_fu": -3.914, "n_ef_per_ev_cell": 16.78, "lattice_angstrom": [[6.7187, 0.0000, -3.1716], [-1.4972, 6.5498, -3.1716], [-0.0606, -0.0761, 8.5738]], "species": ["Tm", "Tm", "Tm", "Tm", "Te", "Co", "Te", "Co", "Tm", "Co", "Tm", "Tm", "Co", "Tm", "Tm", "Tm"], "frac_coords": [[0.5251, 0.7129, 0.7380], [0.9749, 0.4749, 0.2620], [0.7871, 0.9749, 0.2620], [0.7129, 0.2129, 0.7380], [0.2500, 0.2500, 0.5000], [0.6373, 0.1373, 0.0000], [0.7500, 0.7500, 0.5000], [0.1373, 0.3627, 0.0000], [0.2129, 0.0251, 0.7380], [0.3627, 0.8627, 0.0000], [0.4749, 0.2871, 0.2620], [0.0251, 0.5251, 0.7380], [0.8627, 0.6373, 0.0000], [0.0000, 0.0000, 0.0000], [0.2871, 0.7871, 0.2620], [0.5000, 0.5000, 0.0000]]}



# 13
{"formula": "Tm7Co2Te2", "functional": "PBE", "state": "relaxed", "volume_a3_per_atom": 25.05, "raw_formation_energy_ev_per_fu": -6.758, "e_above_lowest_polymorph_ev_per_atom": 0.000, "n_ef_per_ev_cell": 9.08, "lattice_angstrom": [[-1.6057, -3.1086, -1.4707], [7.3913, -5.0417, -2.3102], [2.9166, -6.5702, 5.8062]], "species": ["Tm", "Tm", "Tm", "Tm", "Tm", "Te", "Tm", "Co", "Co", "Te", "Tm"], "frac_coords": [[0.1486, 0.1040, 0.5988], [0.5000, 0.0262, 0.9738], [0.6350, 0.4707, 0.2593], [0.8514, 0.4012, 0.8960], [0.3650, 0.7407, 0.5293], [0.0000, 0.7590, 0.2410], [0.8142, 0.0857, 0.2859], [0.2631, 0.3320, 0.1417], [0.7369, 0.8583, 0.6680], [0.5000, 0.3622, 0.6378], [0.1858, 0.7141, 0.9143]]}



# 14
{"formula": "Tm4CoTe", "functional": "PBE", "state": "relaxed", "volume_a3_per_atom": 24.74, "raw_formation_energy_ev_per_fu": -3.308, "e_above_lowest_polymorph_ev_per_atom": 0.000, "n_ef_per_ev_cell": 19.20, "lattice_angstrom": [[-3.2707, 1.9988, 0.1516], [-4.1153, -6.5531, -2.3838], [-2.3211, -5.1826, 18.2546]], "species": ["Tm", "Tm", "Te", "Tm", "Tm", "Tm", "Tm", "Tm", "Tm", "Tm", "Co", "Te", "Tm", "Tm", "Tm", "Co", "Tm", "Tm", "Tm", "Te", "Co", "Co", "Tm", "Te"], "frac_coords": [[0.2500, 0.9860, 0.0672], [0.7500, 0.8611, 0.6450], [0.7500, 0.7438, 0.8128], [0.2500, 0.0451, 0.7850], [0.2500, 0.5451, 0.7150], [0.2500, 0.6438, 0.9546], [0.2500, 0.1438, 0.5454], [0.7500, 0.3611, 0.8550], [0.7500, 0.5140, 0.5672], [0.7500, 0.0140, 0.9328], [0.7500, 0.7386, 0.0504], [0.2500, 0.7562, 0.3128], [0.2500, 0.6389, 0.1450], [0.2500, 0.1389, 0.3550], [0.7500, 0.8562, 0.4546], [0.7500, 0.2386, 0.4496], [0.7500, 0.4549, 0.2850], [0.7500, 0.3562, 0.0454], [0.2500, 0.4860, 0.4328], [0.7500, 0.2438, 0.6872], [0.2500, 0.2614, 0.9496], [0.2500, 0.7614, 0.5504], [0.7500, 0.9549, 0.2150], [0.2500, 0.2562, 0.1872]]}



# 15
{"formula": "Tm7Co2Te2", "functional": "PBE", "state": "relaxed", "volume_a3_per_atom": 27.40, "raw_formation_energy_ev_per_fu": -4.615, "e_above_lowest_polymorph_ev_per_atom": 0.195, "n_ef_per_ev_cell": 10.30, "lattice_angstrom": [[6.9853, 0.3685, 0.5317], [-0.4762, 6.3482, 1.8569], [-0.4762, -0.4906, 6.5960]], "species": ["Tm", "Co", "Tm", "Tm", "Tm", "Tm", "Te", "Tm", "Tm", "Te", "Co"], "frac_coords": [[0.0000, 0.0000, 0.0000], [0.0001, 0.7203, 0.7203], [0.7665, 0.5001, 0.9999], [0.2335, 0.0001, 0.4999], [0.2335, 0.4999, 0.0001], [0.7665, 0.9999, 0.5001], [0.5000, 0.2125, 0.7875], [0.7779, 0.5000, 0.5000], [0.2221, 0.5000, 0.5000], [0.5000, 0.7875, 0.2125], [0.9999, 0.2797, 0.2797]]}



# 16
{"formula": "Tm5Co2Te2", "functional": "PBE", "state": "relaxed", "volume_a3_per_atom": 24.21, "raw_formation_energy_ev_per_fu": -6.353, "n_ef_per_ev_cell": 12.70, "lattice_angstrom": [[-4.8138, -3.2319, -4.8178], [-4.2243, -2.2791, 5.7496], [-6.4476, 4.9488, -2.7754]], "species": ["Co", "Tm", "Tm", "Te", "Tm", "Tm", "Tm", "Tm", "Co", "Co", "Tm", "Te", "Te", "Tm", "Co", "Tm", "Tm", "Te"], "frac_coords": [[0.8689, 0.6290, 0.0000], [0.9521, 0.3398, 0.7721], [0.0479, 0.6602, 0.2279], [0.2108, 0.0000, 0.5784], [0.4521, 0.1602, 0.7721], [0.0000, 0.0000, 0.0000], [0.5479, 0.8398, 0.2279], [0.7242, 0.3398, 0.2279], [0.3689, 0.8710, 0.0000], [0.6311, 0.1290, 0.0000], [0.2758, 0.6602, 0.7721], [0.2892, 0.5000, 0.4216], [0.7892, 0.0000, 0.4216], [0.7758, 0.8398, 0.7721], [0.1311, 0.3710, 0.0000], [0.5000, 0.5000, 0.0000], [0.2242, 0.1602, 0.2279], [0.7108, 0.5000, 0.5784]]}



# 17
{"formula": "Tm6CoTe4", "functional": "PBE", "state": "relaxed", "volume_a3_per_atom": 27.28, "raw_formation_energy_ev_per_fu": -9.283, "n_ef_per_ev_cell": 18.08, "lattice_angstrom": [[8.4360, 0.0718, -0.1433], [0.1421, 8.4351, -0.1433], [-0.0724, -0.0718, 8.4369]], "species": ["Tm", "Tm", "Co", "Te", "Tm", "Te", "Tm", "Tm", "Te", "Tm", "Tm", "Tm", "Co", "Te", "Tm", "Tm", "Tm", "Te", "Te", "Te", "Tm", "Te"], "frac_coords": [[0.5615, 0.2147, 0.5711], [0.9385, 0.0711, 0.7147], [0.5000, 0.5000, 0.5000], [0.6183, 0.8817, 0.7500], [0.2147, 0.4289, 0.4385], [0.7500, 0.3817, 0.8817], [0.4385, 0.7853, 0.4289], [0.9289, 0.7147, 0.9385], [0.8817, 0.2500, 0.3817], [0.0711, 0.2853, 0.0615], [0.5711, 0.4385, 0.2147], [0.7147, 0.0615, 0.0711], [0.0000, 0.0000, 0.0000], [0.3817, 0.1183, 0.2500], [0.2853, 0.9385, 0.9289], [0.0615, 0.9289, 0.2853], [0.7853, 0.5711, 0.5615], [0.2500, 0.2500, 0.7500], [0.1183, 0.7500, 0.6183], [0.2500, 0.6183, 0.1183], [0.4289, 0.5615, 0.7853], [0.7500, 0.7500, 0.2500]]}



# 18
{"formula": "Tm8Co3Te2", "functional": "PBE", "state": "relaxed", "volume_a3_per_atom": 25.63, "raw_formation_energy_ev_per_fu": -5.933, "n_ef_per_ev_cell": 4.63, "lattice_angstrom": [[-0.0773, 2.0988, 3.6815], [-6.9358, -6.8617, 3.7664], [8.1010, -1.8286, 1.2125]], "species": ["Tm", "Tm", "Co", "Te", "Tm", "Tm", "Tm", "Tm", "Co", "Tm", "Tm", "Co", "Te"], "frac_coords": [[0.5000, 0.3445, 0.1322], [0.0000, 0.6356, 0.2000], [0.5000, 0.0000, 0.0000], [0.5000, 0.6899, 0.4901], [0.5000, 0.6555, 0.8678], [0.0000, 0.3644, 0.8000], [0.0000, 0.8764, 0.7831], [0.0000, 0.1236, 0.2169], [0.0000, 0.1854, 0.9424], [0.5000, 0.9074, 0.2713], [0.5000, 0.0926, 0.7287], [0.0000, 0.8146, 0.0576], [0.5000, 0.3101, 0.5099]]}



# 19
{"formula": "Tm6Co2Te", "functional": "PBE", "state": "relaxed", "volume_a3_per_atom": 25.19, "raw_formation_energy_ev_per_fu": -3.169, "e_above_lowest_polymorph_ev_per_atom": 0.034, "n_ef_per_ev_cell": 20.36, "lattice_angstrom": [[-2.7196, -0.9649, 5.3573], [2.3335, -8.6683, 2.0338], [7.0565, -0.6728, 5.8714]], "species": ["Co", "Tm", "Tm", "Tm", "Co", "Tm", "Te", "Tm", "Tm", "Tm", "Co", "Co", "Tm", "Tm", "Tm", "Tm", "Te", "Tm"], "frac_coords": [[0.9681, 0.7627, 0.7546], [0.6309, 0.9837, 0.8036], [0.3125, 0.6833, 0.5547], [0.1309, 0.8036, 0.9837], [0.5319, 0.2454, 0.2373], [0.8125, 0.5547, 0.6833], [0.7500, 0.6952, 0.3048], [0.1999, 0.0481, 0.5679], [0.3691, 0.0163, 0.1964], [0.6999, 0.5679, 0.0481], [0.4681, 0.7546, 0.7627], [0.0319, 0.2373, 0.2454], [0.8001, 0.9519, 0.4321], [0.3001, 0.4321, 0.9519], [0.8691, 0.1964, 0.0163], [0.6875, 0.3167, 0.4453], [0.2500, 0.3048, 0.6952], [0.1875, 0.4453, 0.3167]]}



# 20
{"formula": "Tm6Co2Te", "functional": "PBE", "state": "relaxed", "volume_a3_per_atom": 24.29, "raw_formation_energy_ev_per_fu": -3.472, "e_above_lowest_polymorph_ev_per_atom": 0.000, "n_ef_per_ev_cell": 14.60, "lattice_angstrom": [[7.6483, 0.4893, -3.1591], [-4.3000, 6.8350, -1.8730], [0.0403, -0.4893, 8.2750]], "species": ["Tm", "Tm", "Tm", "Tm", "Co", "Tm", "Tm", "Tm", "Tm", "Co", "Te", "Te", "Tm", "Tm", "Tm", "Tm", "Co", "Co"], "frac_coords": [[0.5333, 0.8176, 0.7157], [0.4667, 0.1824, 0.2843], [0.3184, 0.3260, 0.6443], [0.1019, 0.8176, 0.2843], [0.3401, 0.3401, 0.0000], [0.7915, 0.0269, 0.2355], [0.6816, 0.3260, 0.0076], [0.2085, 0.4440, 0.2355], [0.6816, 0.6740, 0.3557], [0.5000, 0.1142, 0.6142], [0.0000, 0.0000, 0.0000], [0.0000, 0.5000, 0.5000], [0.8981, 0.1824, 0.7157], [0.2085, 0.9731, 0.7645], [0.7915, 0.5560, 0.7645], [0.3184, 0.6740, 0.9924], [0.5000, 0.8858, 0.3858], [0.6599, 0.6599, 0.0000]]}